No. 1
## ReSnI2 (PBE)

Data for ReSnI2 after structural relaxation.

Results
energy relative to the elements, uncorrected	1.307	eV/atom
excess energy over the best structure of this formula in the dataset	751	meV/atom
space group	Fm-3m, No. 225
calculated density	9.6	g/cm³
total energy	-3.581	eV/atom

Cell and atoms, written as extended XYZ:
```
4
Lattice="0.000 3.647 3.647 3.647 0.000 3.647 3.647 3.647 0.000" Properties=species:S:1:pos:R:3 pbc="T T T"
Re 0.000 0.000 0.000
Sn 3.647 3.647 3.647
I 1.823 1.823 1.823
I 5.470 5.470 5.470
```

---

No. 2
## LaNdErMg (PBE)

Data for LaNdErMg after structural relaxation.

Results
ΔE_f	0.006	eV per atom
excess energy over the best structure of this formula in the dataset	32	meV/atom
space group	F-43m, No. 216
calculated density	6.2	g/cm³
total energy	-3.957	eV/atom

Cell and atoms, written as extended XYZ:
```
4
Lattice="0.000 3.987 3.987 3.987 0.000 3.987 3.987 3.987 0.000" Properties=species:S:1:pos:R:3 pbc="T T T"
La 0.000 0.000 0.000
Nd 3.987 3.987 3.987
Er 5.981 5.981 5.981
Mg 1.994 1.994 1.994
```

---

No. 3
## LaNdAg (PBE)

Data for LaNdAg after structural relaxation.

Results
ΔE_f	-0.150	eV per atom
excess energy over the best structure of this formula in the dataset	0	meV/atom
space group	Pnma, No. 62
calculated density	7.1	g/cm³
total energy	-4.332	eV/atom

Cell and atoms, written as extended XYZ:
```
12
Lattice="7.348 0.000 0.000 0.000 5.261 0.000 0.000 0.000 9.502" Properties=species:S:1:pos:R:3 pbc="T T T"
La 0.068 1.315 1.742
La 3.606 3.945 6.493
La 3.742 1.315 3.008
La 7.279 3.945 7.759
Nd 1.104 1.315 5.539
Nd 2.570 3.945 0.788
Nd 4.778 1.315 8.713
Nd 6.244 3.945 3.962
Ag 1.759 1.315 8.568
Ag 1.915 3.945 3.817
Ag 5.433 1.315 5.684
Ag 5.589 3.945 0.934
```

---

No. 4
## ScAlTlTe3 (PBE)

Data for ScAlTlTe3 after structural relaxation.

Results
energy relative to the elements, uncorrected	-0.628	eV/atom
space group	P2_1/m, No. 11
calculated density	5.7	g/cm³
total energy	-4.273	eV/atom

Cell and atoms, written as extended XYZ:
```
12
Lattice="9.113 0.000 0.000 0.000 4.309 0.000 -4.200 0.000 9.712" Properties=species:S:1:pos:R:3 pbc="T T T"
Sc 1.030 1.077 1.308
Sc 3.883 3.232 8.403
Al 2.078 3.232 3.556
Al 2.835 1.077 6.155
Tl -0.638 3.232 7.313
Tl 5.552 1.077 2.399
Te -3.247 1.077 8.140
Te 0.661 1.077 4.512
Te 3.166 3.232 1.121
Te 1.747 1.077 8.591
Te 4.252 3.232 5.200
Te 8.160 3.232 1.571
```